1.
A plane-wave DFT calculation with PBE was carried out for Ho3Mg5Bi12 after structural relaxation. Values from VASP.

Calculated values
E	-3.49	eV per atom

Geometry as Quantum ESPRESSO input:
```
&SYSTEM
  ibrav = 0, nat = 80, ntyp = 3
/
ATOMIC_SPECIES
Ho 164.93 Ho.upf
Mg 24.30 Mg.upf
Bi 208.98 Bi.upf
ATOMIC_POSITIONS crystal
Ho 0.125 0.250 0.375
Ho 0.125 0.375 0.750
Ho 0.250 0.375 0.125
Ho 0.250 0.875 0.625
Ho 0.375 0.125 0.250
Ho 0.375 0.750 0.125
Ho 0.625 0.250 0.875
Ho 0.625 0.875 0.750
Ho 0.750 0.125 0.375
Ho 0.750 0.625 0.875
Ho 0.875 0.625 0.250
Ho 0.875 0.750 0.625
Mg 0.000 0.000 0.000
Mg 0.000 0.000 0.500
Mg 0.000 0.500 0.000
Mg 0.000 0.500 0.500
Mg 0.125 0.750 0.875
Mg 0.125 0.875 0.250
Mg 0.250 0.125 0.875
Mg 0.250 0.625 0.375
Mg 0.375 0.250 0.625
Mg 0.375 0.625 0.750
Mg 0.500 0.000 0.000
Mg 0.500 0.000 0.500
Mg 0.500 0.500 0.000
Mg 0.500 0.500 0.500
Mg 0.625 0.375 0.250
Mg 0.625 0.750 0.375
Mg 0.750 0.375 0.625
Mg 0.750 0.875 0.125
Mg 0.875 0.125 0.750
Mg 0.875 0.250 0.125
Bi 0.068 0.237 0.147
Bi 0.068 0.331 0.921
Bi 0.079 0.647 0.410
Bi 0.079 0.932 0.669
Bi 0.090 0.737 0.669
Bi 0.090 0.853 0.421
Bi 0.147 0.068 0.237
Bi 0.147 0.579 0.910
Bi 0.169 0.237 0.590
Bi 0.169 0.432 0.579
Bi 0.237 0.147 0.068
Bi 0.237 0.590 0.169
Bi 0.263 0.331 0.910
Bi 0.263 0.432 0.353
Bi 0.331 0.910 0.263
Bi 0.331 0.921 0.068
Bi 0.353 0.263 0.432
Bi 0.353 0.590 0.921
Bi 0.410 0.079 0.647
Bi 0.410 0.831 0.763
Bi 0.421 0.090 0.853
Bi 0.421 0.831 0.568
Bi 0.432 0.353 0.263
Bi 0.432 0.579 0.169
Bi 0.568 0.421 0.831
Bi 0.568 0.647 0.737
Bi 0.579 0.169 0.432
Bi 0.579 0.910 0.147
Bi 0.590 0.169 0.237
Bi 0.590 0.921 0.353
Bi 0.647 0.410 0.079
Bi 0.647 0.737 0.568
Bi 0.669 0.079 0.932
Bi 0.669 0.090 0.737
Bi 0.737 0.568 0.647
Bi 0.737 0.669 0.090
Bi 0.763 0.410 0.831
Bi 0.763 0.853 0.932
Bi 0.831 0.568 0.421
Bi 0.831 0.763 0.410
Bi 0.853 0.421 0.090
Bi 0.853 0.932 0.763
Bi 0.910 0.147 0.579
Bi 0.910 0.263 0.331
Bi 0.921 0.068 0.331
Bi 0.921 0.353 0.590
Bi 0.932 0.669 0.079
Bi 0.932 0.763 0.853
CELL_PARAMETERS angstrom
-9.041 9.041 9.041
9.041 -9.041 9.041
9.041 9.041 -9.041
```

=====

2.
A plane-wave DFT calculation with PBE was carried out for Ho2Pd3Rh after structural relaxation. Values from VASP.

Calculated values
E	-6.09	eV per atom

Geometry as Quantum ESPRESSO input:
```
&SYSTEM
  ibrav = 0, nat = 12, ntyp = 3
/
ATOMIC_SPECIES
Ho 164.93 Ho.upf
Pd 106.42 Pd.upf
Rh 102.91 Rh.upf
ATOMIC_POSITIONS crystal
Ho 0.152 0.241 0.393
Ho 0.348 0.741 0.089
Ho 0.652 0.259 0.911
Ho 0.848 0.759 0.607
Pd 0.137 0.748 0.885
Pd 0.250 0.750 0.500
Pd 0.363 0.248 0.611
Pd 0.637 0.752 0.389
Pd 0.750 0.250 0.500
Pd 0.863 0.252 0.115
Rh 0.250 0.250 0.000
Rh 0.750 0.750 0.000
CELL_PARAMETERS angstrom
-2.997 6.533 3.003
2.997 -6.533 3.003
2.997 6.533 -3.003
```

=====

3.
A plane-wave DFT calculation with PBE was carried out for TiCdAg2 after structural relaxation. Values from VASP.

Calculated values
E	-3.57	eV per atom

Geometry as Quantum ESPRESSO input:
```
&SYSTEM
  ibrav = 0, nat = 4, ntyp = 3
/
ATOMIC_SPECIES
Ti 47.87 Ti.upf
Cd 112.41 Cd.upf
Ag 107.87 Ag.upf
ATOMIC_POSITIONS crystal
Ti 0.000 0.000 0.000
Cd 0.833 0.833 0.833
Ag 0.413 0.413 0.413
Ag 0.586 0.586 0.586
CELL_PARAMETERS angstrom
1.474 0.851 9.791
-1.474 0.851 9.791
0.000 -1.702 9.791
```